{"formula": "Ce2Np2Ni15", "functional": "GGA-PBE", "state": "relaxed", "spacegroup": "R-3m (166)", "e_form_kj_per_mol_atoms": -21, "lattice": [[6.443, 0.050, 0.044], [0.885, 6.382, 0.044], [0.885, 0.777, 6.335]], "species": ["Ce", "Ce", "Np", "Np", "Ni", "Ni", "Ni", "Ni", "Ni", "Ni", "Ni", "Ni", "Ni", "Ni", "Ni", "Ni", "Ni", "Ni", "Ni"], "frac_coords": [[0.354, 0.354, 0.354], [0.646, 0.646, 0.646], [0.090, 0.090, 0.090], [0.910, 0.910, 0.910], [0.500, 0.000, 0.000], [0.000, 0.000, 0.500], [0.000, 0.500, 0.000], [0.000, 0.680, 0.320], [0.680, 0.320, 0.000], [0.320, 0.000, 0.680], [0.320, 0.680, 0.000], [0.680, 0.000, 0.320], [0.000, 0.320, 0.680], [0.163, 0.658, 0.658], [0.658, 0.658, 0.163], [0.658, 0.163, 0.658], [0.837, 0.342, 0.342], [0.342, 0.342, 0.837], [0.342, 0.837, 0.342]]}


{"formula": "InW4Cl", "functional": "GGA-PBE", "state": "relaxed", "formation_energy_uncorrected_ev_per_atom": 1.076, "spacegroup": "F-43m (216)", "lattice": [[4.288, 0.149, 3.324], [-0.540, -1.479, 5.194], [2.238, -4.624, 1.752]], "species": ["In", "W", "W", "W", "W", "Cl"], "frac_coords": [[0.000, 0.000, 0.000], [0.864, 0.379, 0.379], [0.379, 0.379, 0.864], [0.379, 0.864, 0.379], [0.379, 0.379, 0.379], [0.750, 0.750, 0.750]]}


{"formula": "Y2ZrTa", "functional": "GGA-PBE", "state": "relaxed", "spacegroup": "Pm (6)", "e_form_kj_per_mol_atoms": 22, "de_polymorph_ev_per_fu": 0.236, "lattice": [[5.099, 0.000, 0.000], [0.000, 3.268, 0.003], [0.000, 1.627, 6.169]], "species": ["Ta", "Y", "Y", "Zr"], "frac_coords": [[0.500, 0.569, 0.733], [0.000, 0.953, 0.968], [0.500, 0.299, 0.278], [0.000, 0.679, 0.521]]}


{"formula": "PmDy2Ru2", "functional": "GGA-PBE", "state": "relaxed", "spacegroup": "Cmmm (65)", "e_form_kj_per_mol_atoms": -23, "de_polymorph_ev_per_fu": 0.000, "lattice": [[-2.632, -1.024, -1.904], [2.164, -1.492, -2.190], [0.551, -9.538, 4.369]], "species": ["Pm", "Dy", "Dy", "Ru", "Ru"], "frac_coords": [[0.000, 0.000, 0.000], [0.000, 0.166, 0.668], [0.000, 0.834, 0.332], [0.500, 0.409, 0.182], [0.500, 0.591, 0.818]]}


{"formula": "Sc2TaSbI", "functional": "GGA-PBE", "state": "relaxed", "formation_energy_uncorrected_ev_per_atom": 0.664, "spacegroup": "P4/mmm (123)", "lattice": [[5.432, 0.000, 0.000], [0.000, 5.066, 0.000], [0.000, 0.000, 5.432]], "species": ["I", "Sb", "Sc", "Sc", "Ta"], "frac_coords": [[0.000, 0.500, 0.000], [0.500, 0.500, 0.500], [0.000, 0.000, 0.500], [0.500, 0.000, 0.000], [0.000, 0.000, 0.000]]}


{"formula": "AuS2N2", "functional": "GGA-PBE", "state": "relaxed", "formation_energy_uncorrected_ev_per_atom": 0.758, "spacegroup": "P1 (1)", "de_polymorph_ev_per_fu": 0.794, "lattice": [[-2.579, 0.733, -0.140], [-2.053, -5.284, -2.324], [-1.442, -4.241, 4.296]], "species": ["Au", "S", "S", "N", "N"], "frac_coords": [[0.895, 0.743, 0.736], [0.833, 0.996, 0.938], [0.927, 0.613, 0.413], [0.860, 0.890, 0.222], [0.463, 0.463, 0.379]]}


| no. | magnetic moment (μB per cell) | final energy (eV/atom) |
| --- | --- | --- |
| 1 | 0.00 | -6.7703 |
| 2 | 0.00 | -8.3238 |
| 3 | 0.00 | -8.1092 |
| 4 | 0.00 | -6.7400 |
| 5 | 0.00 | -5.3737 |
| 6 | 0.00 | -4.8790 |